Crystalline TaNb6Co at its relaxed geometry, computed with GGA-PBE.

Output
Crystal system: monoclinic
Uncorrected energy: -79.191 eV per cell
ΔE_f: 0.19 eV per formula unit
Symmetry: P2/m (10)

abc: 7.370 7.363 5.203
angles: 45.03 44.98 59.98
Atoms (fractional coordinates):
1 Nb 0.000 0.500 0.746
2 Nb 0.500 0.754 0.745
3 Nb 0.000 0.500 0.254
4 Nb 0.754 0.000 0.744
5 Nb 0.500 0.246 0.255
6 Co 0.000 0.000 0.000
7 Ta 0.500 0.500 0.500
8 Nb 0.246 0.000 0.256


Crystalline Fe2NiSe4 at its relaxed geometry, computed with GGA-PBE.

Output
Formation energy (no corrections): -240 meV/atom
Crystal system: monoclinic
Uncorrected energy: -38.323 eV per cell
Symmetry: Cm (8)

abc: 6.336 6.336 6.228
angles: 61.41 61.41 32.82
Each line ends with the local moment (μB).
Atoms (fractional coordinates):
1 Fe 0.260 0.260 0.720  1.01
2 Se 0.122 0.122 0.550  -0.03
3 Fe 0.999 0.999 0.000  2.10
4 Se 0.636 0.636 0.023  -0.01
5 Se 0.878 0.878 0.459  0.00
6 Se 0.367 0.367 0.966  0.01
7 Ni 0.740 0.740 0.282  -0.10


Crystalline Tm2Al4AgPd3 at its relaxed geometry, computed with GGA-PBE.

Output
Crystal system: tetragonal
Uncorrected energy: -49.460 eV per cell
ΔE_f: -7.12 eV per formula unit
Symmetry: P-4m2 (115)

abc: 4.129 4.129 10.974
angles: 90.00 90.00 90.00
Atoms (fractional coordinates):
1 Tm 0.000 0.500 0.761
2 Al 0.500 0.000 0.639
3 Al 0.000 0.500 0.361
4 Pd 0.500 0.000 0.863
5 Al 0.500 0.500 0.000
6 Pd 0.000 0.000 0.500
7 Al 0.000 0.000 0.000
8 Pd 0.000 0.500 0.137
9 Tm 0.500 0.000 0.239
10 Ag 0.500 0.500 0.500


Crystalline Ce8TcSb2 at its relaxed geometry, computed with GGA-PBE.

Output
Formation energy (no corrections): -383 meV/atom
Crystal system: monoclinic
Uncorrected energy: -70.290 eV per cell
Symmetry: C2/m (12)

abc: 5.619 7.011 8.478
angles: 114.35 109.35 90.00
Each line ends with the local moment (μB).
Atoms (fractional coordinates):
1 Ce 0.374 0.162 0.749  0.40
2 Ce 0.626 0.838 0.251  0.40
3 Ce 0.000 0.266 0.000  0.34
4 Sb 0.803 0.304 0.607  -0.01
5 Ce 0.000 0.734 0.000  0.34
6 Sb 0.197 0.696 0.393  -0.01
7 Ce 0.625 0.412 0.250  0.40
8 Ce 0.140 0.139 0.280  0.51
9 Ce 0.860 0.861 0.720  0.51
10 Ce 0.375 0.588 0.750  0.40
11 Tc 0.500 0.000 0.000  -0.06


| no. | calculated density (g/cm³) |
| --- | --- |
| 1 | 9.378 |
| 2 | 6.874 |
| 3 | 7.747 |
| 4 | 8.567 |